VASP calculation (PBE) on HoUTe2C after structural relaxation.

Calculated values
ρ: 8.56 g cm⁻³
ΔE_f (raw): -17.32 kcal/mol of atoms
Magnetization: 1.6 μB per cell
Uncorrected energy: -7.026 eV per atom
V: 260 Å³ per cell

a b c (Å): 4.056 4.056 15.813
angles (deg): 90.00 90.00 90.00
Each line ends with the local moment (μB).
Fractional coordinates of all 10 atoms:
Ho  0.500  0.000  0.135  0.01
Ho  0.000  0.500  0.865  0.01
U  0.500  0.000  0.570  0.85
U  0.000  0.500  0.430  0.85
Te  0.000  0.500  0.679  -0.04
Te  0.000  0.500  0.083  0.00
Te  0.500  0.000  0.917  0.00
Te  0.500  0.000  0.321  -0.04
C  0.000  0.000  0.500  -0.06
C  0.500  0.500  0.500  -0.06